1.
K2Ag2PbCl7 | PBE-GGA | optimized geometry

Summary:
- Space group: C2/m, No. 12
- Crystal system: monoclinic
- Magnetization: 0.0 μB/cell
- Formation energy (no corrections): -1025.5 meV per atom

Cell: 5.163 5.163 13.248 Å, 78.76 78.76 89.99°
Sites, in units of the cell vectors:
Cl 0.082 0.584 0.836
Cl 0.698 0.698 0.599
Cl 0.918 0.416 0.164
Cl 0.584 0.082 0.836
Cl 0.500 0.500 0.000
Cl 0.302 0.302 0.401
Cl 0.416 0.918 0.164
Pb 0.000 0.000 0.000
Ag 0.399 0.399 0.201
Ag 0.601 0.601 0.799
K 0.818 0.818 0.358
K 0.182 0.182 0.642



2.
TlZnC3 | PBE-GGA | optimized geometry

Summary:
- Space group: Pm-3m, No. 221
- Crystal system: cubic
- Magnetization: 1.4 μB/cell
- Offset from the most stable computed form: 742.5 meV per atom
- Energy of formation from the pure elements: 3.520 eV per atom

Cell: 4.445 4.445 4.445 Å, 90.00 90.00 90.00°
Sites, in units of the cell vectors:
C 0.500 0.000 0.000
C 0.000 0.500 0.000
C 0.000 0.000 0.500
Zn 0.500 0.500 0.500
Tl 0.000 0.000 0.000